Ba3Si2Ag2: relaxed, PBE.

a = 5.0135 Å, b = 6.4953 Å, c = 7.9988 Å
α = 108.88°, β = 90.00°, γ = 112.70°
Element x y z (fractional)
Ba 0.3212 0.6425 0.3708
Ba 0.6788 0.3575 0.6292
Ba 0.5000 0.0000 0.0000
Si 0.9808 0.9616 0.6385
Si 0.0192 0.0384 0.3615
Ag 0.8160 0.6321 0.0842
Ag 0.1840 0.3679 0.9158

Space-group type ... C2/m
E ... -3.4855 eV/atom
Total magnetization ... 0.00 μB per cell
DOS(E_F) ... 0.744 states/eV per atom
Raw formation energy ... -0.30 eV/atom